Material: ZrTlBW2
Method: DFT, SCAN
State: single point on PBEsol structure

```
ZrTlBW2
1.0
4.909 0.000 0.000
0.000 4.909 0.000
0.000 0.000 5.159
Zr Tl B W
1 1 1 2
Direct
0.000 0.000 0.000
0.000 0.000 0.500
0.500 0.500 0.000
0.000 0.500 0.500
0.500 0.000 0.500
```

Output
Its total energy is -46.516 eV/atom. The calculation puts the energy relative to the elements at 3457 meV/atom.